# NaAsSe2Br meta-GGA SCAN PBEsol geometry
data_NaAsSe2Br
_symmetry_space_group_name_H-M 'P 4/m m m'
_symmetry_Int_Tables_number 123
_symmetry_space_group_name_Hall '-P 4 2'
_cell_length_a 4.9107
_cell_length_b 4.9107
_cell_length_c 5.3561
_cell_angle_alpha 90.00
_cell_angle_beta 90.00
_cell_angle_gamma 90.00
loop_
_atom_site_label
_atom_site_fract_x
_atom_site_fract_y
_atom_site_fract_z
_atom_site_occupancy
Na1 0.0000 0.0000 0.0000 1
As1 0.0000 0.0000 0.5000 1
Se1 0.0000 0.5000 0.0000 1
Br1 0.5000 0.5000 0.5000 1
# formation energy without anion corrections	0.889	eV/atom
# D(E_F)	6.46	states/eV per cell
# density	4316	kg/m³

# Mn2ZnO4 meta-GGA SCAN PBEsol geometry
data_Mn2ZnO4
_symmetry_space_group_name_H-M 'I 41/a m d'
_symmetry_Int_Tables_number 141
_cell_length_a 5.6938
_cell_length_b 5.6938
_cell_length_c 9.2805
_cell_angle_alpha 90.00
_cell_angle_beta 90.00
_cell_angle_gamma 90.00
loop_
_symmetry_equiv_pos_as_xyz
'x,y,z'
'-x,-y,-z'
'-y+1/4,x+3/4,z+1/4'
'y+1/4,-x+3/4,-z+1/4'
'-x+1/2,-y,z+1/2'
'x+1/2,y,-z+1/2'
'y+1/4,-x+1/4,z+3/4'
'-y+1/4,x+1/4,-z+3/4'
'x,-y,-z'
'-x,y,z'
'-y+1/4,-x+1/4,-z+3/4'
'y+1/4,x+1/4,z+3/4'
'-x+1/2,y,-z+1/2'
'x+1/2,-y,z+1/2'
'y+1/4,x+3/4,-z+1/4'
'-y+1/4,-x+3/4,z+1/4'
'x+1/2,y+1/2,z+1/2'
'-x+1/2,-y+1/2,-z+1/2'
'-y+3/4,x+1/4,z+3/4'
'y+3/4,-x+1/4,-z+3/4'
'-x,-y+1/2,z'
'x,y+1/2,-z'
'y+3/4,-x+3/4,z+1/4'
'-y+3/4,x+3/4,-z+1/4'
'x+1/2,-y+1/2,-z+1/2'
'-x+1/2,y+1/2,z+1/2'
'-y+3/4,-x+3/4,-z+1/4'
'y+3/4,x+3/4,z+1/4'
'-x,y+1/2,-z'
'x,-y+1/2,z'
'y+3/4,x+1/4,-z+3/4'
'-y+3/4,-x+1/4,z+3/4'
loop_
_atom_site_label
_atom_site_fract_x
_atom_site_fract_y
_atom_site_fract_z
_atom_site_occupancy
Mn1 0.0000 0.0000 0.0000 1
Zn1 0.0000 0.2500 0.3750 1
O1 0.0000 0.0238 0.7549 1
# formation energy without anion corrections	-2.038	eV/atom
# density	5282	kg/m³

# TcP2PtCl meta-GGA SCAN PBEsol geometry
data_TcP2PtCl
_symmetry_space_group_name_H-M 'P 4/m m m'
_symmetry_Int_Tables_number 123
_symmetry_space_group_name_Hall '-P 4 2'
_cell_length_a 4.6171
_cell_length_b 4.6171
_cell_length_c 4.7179
_cell_angle_alpha 90.00
_cell_angle_beta 90.00
_cell_angle_gamma 90.00
loop_
_atom_site_label
_atom_site_fract_x
_atom_site_fract_y
_atom_site_fract_z
_atom_site_occupancy
Tc1 0.0000 0.0000 0.0000 1
P1 0.0000 0.5000 0.5000 1
Pt1 0.5000 0.5000 0.5000 1
Cl1 0.5000 0.5000 0.0000 1
# formation energy without anion corrections	0.985	eV/atom
# D(E_F)	2.21	states/eV per cell
# density	6447	kg/m³

# MnReIrAu2 meta-GGA SCAN PBEsol geometry
data_MnReIrAu2
_symmetry_space_group_name_H-M 'P 4/m m m'
_symmetry_Int_Tables_number 123
_symmetry_space_group_name_Hall '-P 4 2'
_cell_length_a 4.9529
_cell_length_b 4.9529
_cell_length_c 4.5969
_cell_angle_alpha 90.00
_cell_angle_beta 90.00
_cell_angle_gamma 90.00
loop_
_atom_site_label
_atom_site_fract_x
_atom_site_fract_y
_atom_site_fract_z
_atom_site_occupancy
Mn1 0.0000 0.0000 0.0000 1
Re1 0.5000 0.5000 0.0000 1
Ir1 0.5000 0.5000 0.5000 1
Au1 0.0000 0.5000 0.5000 1
# D(E_F)	3.89	states/eV per cell
# density	12182	kg/m³
# formation enthalpy at 0 K	1342	meV/atom

# TiGaI2N meta-GGA SCAN PBEsol geometry
data_TiGaI2N
_symmetry_space_group_name_H-M 'P 4/m m m'
_symmetry_Int_Tables_number 123
_symmetry_space_group_name_Hall '-P 4 2'
_cell_length_a 5.6860
_cell_length_b 5.6860
_cell_length_c 3.5427
_cell_angle_alpha 90.00
_cell_angle_beta 90.00
_cell_angle_gamma 90.00
loop_
_atom_site_label
_atom_site_fract_x
_atom_site_fract_y
_atom_site_fract_z
_atom_site_occupancy
Ti1 0.0000 0.0000 0.0000 1
Ga1 0.5000 0.5000 0.5000 1
I1 0.0000 0.5000 0.5000 1
N1 0.5000 0.5000 0.0000 1
# formation energy without anion corrections	0.453	eV/atom
# D(E_F)	2.67	states/eV per cell
# density	5588	kg/m³

# Hf2Pd2Au meta-GGA SCAN PBEsol geometry
data_Hf2Pd2Au
_symmetry_space_group_name_H-M 'P 4/m b m'
_symmetry_Int_Tables_number 127
_symmetry_space_group_name_Hall '-P 4 2ab'
_cell_length_a 7.3085
_cell_length_b 7.3085
_cell_length_c 3.2998
_cell_angle_alpha 90.00
_cell_angle_beta 90.00
_cell_angle_gamma 90.00
loop_
_atom_site_label
_atom_site_fract_x
_atom_site_fract_y
_atom_site_fract_z
_atom_site_occupancy
Hf1 0.1734 0.3266 0.0000 1
Pd1 0.1286 0.6286 0.5000 1
Au1 0.0000 0.0000 0.5000 1
# D(E_F)	4.41	states/eV per cell
# density	14448	kg/m³
# formation enthalpy at 0 K	-757	meV/atom

# Sb3PPt meta-GGA SCAN PBEsol geometry
data_Sb3PPt
_symmetry_space_group_name_H-M 'P m -3 m'
_symmetry_Int_Tables_number 221
_symmetry_space_group_name_Hall '-P 4 2 3'
_cell_length_a 5.1494
_cell_length_b 5.1494
_cell_length_c 5.1494
_cell_angle_alpha 90.00
_cell_angle_beta 90.00
_cell_angle_gamma 90.00
loop_
_atom_site_label
_atom_site_fract_x
_atom_site_fract_y
_atom_site_fract_z
_atom_site_occupancy
Sb1 0.0000 0.0000 0.5000 1
P1 0.5000 0.5000 0.5000 1
Pt1 0.0000 0.0000 0.0000 1
# formation energy without anion corrections	0.724	eV/atom
# D(E_F)	3.71	states/eV per cell
# density	7191	kg/m³

# Zr2NiP meta-GGA SCAN PBEsol geometry
data_Zr2NiP
_symmetry_space_group_name_H-M 'C m m m'
_symmetry_Int_Tables_number 65
_symmetry_space_group_name_Hall '-C 2 2'
_cell_length_a 5.5597
_cell_length_b 6.9835
_cell_length_c 3.2919
_cell_angle_alpha 90.00
_cell_angle_beta 90.00
_cell_angle_gamma 90.00
loop_
_atom_site_label
_atom_site_fract_x
_atom_site_fract_y
_atom_site_fract_z
_atom_site_occupancy
Zr1 0.2500 0.2500 0.0000 1
Ni1 0.0000 0.0000 0.5000 1
P1 0.0000 0.5000 0.5000 1
# D(E_F)	4.68	states/eV per cell
# density	7071	kg/m³
# formation enthalpy at 0 K	-699	meV/atom

# Rb2PIrRh meta-GGA SCAN PBEsol geometry
data_Rb2PIrRh
_symmetry_space_group_name_H-M 'P 4/m m m'
_symmetry_Int_Tables_number 123
_symmetry_space_group_name_Hall '-P 4 2'
_cell_length_a 6.2807
_cell_length_b 6.2807
_cell_length_c 4.5392
_cell_angle_alpha 90.00
_cell_angle_beta 90.00
_cell_angle_gamma 90.00
loop_
_atom_site_label
_atom_site_fract_x
_atom_site_fract_y
_atom_site_fract_z
_atom_site_occupancy
Rb1 0.0000 0.5000 0.0000 1
P1 0.0000 0.0000 0.5000 1
Ir1 0.5000 0.5000 0.0000 1
Rh1 0.5000 0.5000 0.5000 1
# D(E_F)	7.23	states/eV per cell
# density	4609	kg/m³
# formation enthalpy at 0 K	1093	meV/atom

# Li2NbS3 meta-GGA SCAN PBEsol geometry
data_Li2NbS3
_symmetry_space_group_name_H-M 'C 1 2/c 1'
_symmetry_Int_Tables_number 15
_symmetry_space_group_name_Hall '-C 2yc'
_cell_length_a 6.1617
_cell_length_b 10.5698
_cell_length_c 12.2653
_cell_angle_alpha 90.00
_cell_angle_beta 101.07
_cell_angle_gamma 90.00
loop_
_atom_site_label
_atom_site_fract_x
_atom_site_fract_y
_atom_site_fract_z
_atom_site_occupancy
Li1 0.0000 0.0837 0.2500 1
Li2 0.2262 0.0896 0.0024 1
Li3 0.2500 0.2500 0.5000 1
Nb1 0.0000 0.2761 0.7500 1
Nb2 0.0000 0.4426 0.2500 1
S1 0.1186 0.4175 0.6183 1
S2 0.1364 0.0911 0.6350 1
S3 0.1366 0.2586 0.1350 1
# formation energy without anion corrections	-1.330	eV/atom
# density	3440	kg/m³

# Mg2CoW meta-GGA SCAN PBEsol geometry
data_Mg2CoW
_symmetry_space_group_name_H-M 'F -4 3 m'
_symmetry_Int_Tables_number 216
_symmetry_space_group_name_Hall 'F -4 2 3'
_cell_length_a 6.1830
_cell_length_b 6.1830
_cell_length_c 6.1830
_cell_angle_alpha 90.00
_cell_angle_beta 90.00
_cell_angle_gamma 90.00
loop_
_atom_site_label
_atom_site_fract_x
_atom_site_fract_y
_atom_site_fract_z
_atom_site_occupancy
Mg1 0.0000 0.0000 0.0000 1
Mg2 0.2500 0.2500 0.2500 1
Co1 0.0000 0.0000 0.5000 1
W1 0.2500 0.2500 0.7500 1
# D(E_F)	9.11	states/eV per cell
# density	8188	kg/m³
# formation enthalpy at 0 K	527	meV/atom

# CaMn2Ag meta-GGA SCAN PBEsol geometry
data_CaMn2Ag
_symmetry_space_group_name_H-M 'F -4 3 m'
_symmetry_Int_Tables_number 216
_symmetry_space_group_name_Hall 'F -4 2 3'
_cell_length_a 6.6964
_cell_length_b 6.6964
_cell_length_c 6.6964
_cell_angle_alpha 90.00
_cell_angle_beta 90.00
_cell_angle_gamma 90.00
loop_
_atom_site_label
_atom_site_fract_x
_atom_site_fract_y
_atom_site_fract_z
_atom_site_occupancy
Ca1 0.0000 0.0000 0.0000 1
Mn1 0.0000 0.0000 0.5000 1
Mn2 0.2500 0.2500 0.2500 1
Ag1 0.2500 0.2500 0.7500 1
# D(E_F)	8.37	states/eV per cell
# density	5703	kg/m³
# formation enthalpy at 0 K	136	meV/atom

Which value of density does entry 9 give?
4609 kg/m³